Model P:
The following is a PBE calculation of an optimized crystal structure of TaTiSN2, from Alexandria.

Lattice parameters (Å, degrees): 3.9862 3.9862 4.9251 90.00 90.00 90.00
With the nearest neighbours (Å) after each atom.
Fractional positions:
1 Ti 0.5000 0.5000 0.5000  4 S 2.82
2 S 0.0000 0.0000 0.5000  2 Ta 2.46
3 N 0.0000 0.5000 0.0000  2 Ta 1.99
4 N 0.5000 0.0000 0.0000  2 Ta 1.99
5 Ta 0.0000 0.0000 0.0000  4 N 1.99

- Symmetry: No. 123
- Magnetic moment: 1.51 μB/cell
- V: 15.65 A^3/atom
- N(E_F): 4.16 states/eV/f.u.

***

Model Q:
The following is a PBE calculation of an optimized crystal structure of TaTiSN2, from Alexandria.

Lattice parameters (Å, degrees): 3.8384 3.8384 4.6698 90.00 90.00 90.00
With the nearest neighbours (Å) after each atom.
Fractional positions:
1 S 0.0000 0.0000 0.5000  2 Ti 2.33
2 N 0.0000 0.5000 0.0000  2 Ti 1.92
3 N 0.5000 0.0000 0.0000  2 Ti 1.92
4 Ta 0.5000 0.5000 0.5000  4 S 2.71, 8 N 3.02
5 Ti 0.0000 0.0000 0.0000  4 N 1.92

- Symmetry: No. 123
- Magnetic moment: 0.88 μB/cell
- V: 13.76 A^3/atom
- N(E_F): 3.49 states/eV/f.u.

***

What is the stability order? It is model P, model Q, from most stable to least stable.

***

Model P:
The following is a PBE calculation of an optimized crystal structure of TaVSN2, from Alexandria.

Lattice parameters (Å, degrees): 3.9686 3.9686 4.9699 90.00 90.00 90.00
With the nearest neighbours (Å) after each atom.
Fractional positions:
1 V 0.5000 0.5000 0.5000  4 S 2.81
2 S 0.0000 0.0000 0.5000  2 Ta 2.48
3 N 0.5000 0.0000 0.0000  2 Ta 1.98
4 N 0.0000 0.5000 0.0000  2 Ta 1.98
5 Ta 0.0000 0.0000 0.0000  4 N 1.98

- Symmetry: No. 123
- Magnetic moment: 0.13 μB/cell
- V: 15.65 A^3/atom
- N(E_F): 5.41 states/eV/f.u.

***

Model Q:
The following is a PBE calculation of an optimized crystal structure of TaVSN2, from Alexandria.

Lattice parameters (Å, degrees): 3.7335 3.7335 4.5714 90.00 90.00 90.00
With the nearest neighbours (Å) after each atom.
Fractional positions:
1 N 0.5000 0.0000 0.0000  2 V 1.87
2 N 0.0000 0.5000 0.0000  2 V 1.87
3 Ta 0.5000 0.5000 0.5000  4 S 2.64, 8 N 2.95
4 V 0.0000 0.0000 0.0000  4 N 1.87
5 S 0.0000 0.0000 0.5000  2 V 2.29

- Symmetry: No. 123
- Magnetic moment: 0.00 μB/cell
- V: 12.74 A^3/atom
- N(E_F): 4.14 states/eV/f.u.

***

What is the stability order? It is model P, model Q, from most stable to least stable.

***

Model P:
The following is a PBE calculation of an optimized crystal structure of TaWSN2, from Alexandria.

Lattice parameters (Å, degrees): 3.9814 3.9814 4.9447 90.00 90.00 90.00
With the nearest neighbours (Å) after each atom.
Fractional positions:
1 S 0.0000 0.0000 0.5000  2 Ta 2.47
2 W 0.5000 0.5000 0.5000  4 S 2.82
3 Ta 0.0000 0.0000 0.0000  4 N 1.99
4 N 0.5000 0.0000 0.0000  2 Ta 1.99
5 N 0.0000 0.5000 0.0000  2 Ta 1.99

- Symmetry: No. 123
- Magnetic moment: 2.84 μB/cell
- V: 15.68 A^3/atom
- N(E_F): 3.54 states/eV/f.u.

***

Model Q:
The following is a PBE calculation of an optimized crystal structure of TaWSN2, from Alexandria.

Lattice parameters (Å, degrees): 3.8826 3.8826 4.7706 90.00 90.00 90.00
With the nearest neighbours (Å) after each atom.
Fractional positions:
1 W 0.0000 0.0000 0.0000  4 N 1.94
2 N 0.0000 0.5000 0.0000  2 W 1.94
3 N 0.5000 0.0000 0.0000  2 W 1.94
4 S 0.0000 0.0000 0.5000  2 W 2.39
5 Ta 0.5000 0.5000 0.5000  4 S 2.75

- Symmetry: No. 123
- Magnetic moment: 0.31 μB/cell
- V: 14.38 A^3/atom
- N(E_F): 3.57 states/eV/f.u.

***

What is the stability order? It is model Q, model P, from most stable to least stable.

***

Model P:
The following is a PBE calculation of an optimized crystal structure of YTaSN2, from Alexandria.

Lattice parameters (Å, degrees): 4.0557 4.0557 4.8503 90.00 90.00 90.00
With the nearest neighbours (Å) after each atom.
Fractional positions:
1 N 0.0000 0.5000 0.0000  2 Ta 2.03
2 N 0.5000 0.0000 0.0000  2 Ta 2.03
3 Ta 0.0000 0.0000 0.0000  4 N 2.03
4 Y 0.5000 0.5000 0.5000  4 S 2.87, 8 N 3.16
5 S 0.0000 0.0000 0.5000  2 Ta 2.43

- Symmetry: No. 123
- Magnetic moment: 0.00 μB/cell
- V: 15.96 A^3/atom
- N(E_F): 1.97 states/eV/f.u.

***

Model Q:
The following is a PBE calculation of an optimized crystal structure of YTaSN2, from Alexandria.

Lattice parameters (Å, degrees): 4.2063 5.1152 4.2063 90.00 90.00 90.00
With the nearest neighbours (Å) after each atom.
Fractional positions:
1 Ta 0.5000 0.5000 0.5000  4 S 2.97, 8 N 3.31
2 N 0.5000 0.0000 0.0000  2 Y 2.10
3 N 0.0000 0.0000 0.5000  2 Y 2.10
4 S 0.0000 0.5000 0.0000  2 Y 2.56
5 Y 0.0000 0.0000 0.0000  4 N 2.10

- Symmetry: No. 123
- Magnetic moment: 0.00 μB/cell
- V: 18.10 A^3/atom
- N(E_F): 8.22 states/eV/f.u.

***

What is the stability order? It is model P, model Q, from most stable to least stable.

***

Model P:
The following is a PBE calculation of an optimized crystal structure of TaZnS2N, from Alexandria.

Lattice parameters (Å, degrees): 4.6865 4.6865 3.5699 90.00 90.00 90.00
With the nearest neighbours (Å) after each atom.
Fractional positions:
1 N 0.0000 0.0000 0.5000  2 Zn 1.78
2 S 0.5000 0.0000 0.0000  2 Zn 2.34
3 S 0.0000 0.5000 0.0000  2 Zn 2.34
4 Zn 0.0000 0.0000 0.0000  2 N 1.78
5 Ta 0.5000 0.5000 0.5000  8 S 2.95

- Symmetry: No. 123
- Magnetic moment: 0.00 μB/cell
- V: 15.68 A^3/atom
- N(E_F): 6.67 states/eV/f.u.

***

Model Q:
The following is a PBE calculation of an optimized crystal structure of TaZnS2N, from Alexandria.

Lattice parameters (Å, degrees): 4.9266 4.9266 3.8825 90.00 90.00 90.00
With the nearest neighbours (Å) after each atom.
Fractional positions:
1 S 0.0000 0.5000 0.0000  2 Ta 2.46
2 S 0.5000 0.0000 0.0000  2 Ta 2.46
3 Zn 0.5000 0.5000 0.5000  8 S 3.14, 4 N 3.48
4 Ta 0.0000 0.0000 0.0000  2 N 1.94
5 N 0.0000 0.0000 0.5000  2 Ta 1.94

- Symmetry: No. 123
- Magnetic moment: 0.00 μB/cell
- V: 18.85 A^3/atom
- N(E_F): 2.88 states/eV/f.u.

***

What is the stability order? It is model Q, model P, from most stable to least stable.

***

Model P:
The following is a PBE calculation of an optimized crystal structure of ZrTaS2N, from Alexandria.

Lattice parameters (Å, degrees): 4.8346 4.8346 3.8807 90.00 90.00 90.00
With the nearest neighbours (Å) after each atom.
Fractional positions:
1 Ta 0.0000 0.0000 0.0000  2 N 1.94
2 Zr 0.5000 0.5000 0.5000  8 S 3.10, 4 N 3.42
3 S 0.5000 0.0000 0.0000  2 Ta 2.42
4 S 0.0000 0.5000 0.0000  2 Ta 2.42
5 N 0.0000 0.0000 0.5000  2 Ta 1.94

- Symmetry: No. 123
- Magnetic moment: 0.42 μB/cell
- V: 18.14 A^3/atom
- N(E_F): 3.25 states/eV/f.u.

***

Model Q:
The following is a PBE calculation of an optimized crystal structure of ZrTaS2N, from Alexandria.

Lattice parameters (Å, degrees): 4.9976 4.9976 3.9637 90.00 90.00 90.00
With the nearest neighbours (Å) after each atom.
Fractional positions:
1 Zr 0.0000 0.0000 0.0000  2 N 1.98
2 S 0.0000 0.5000 0.0000  2 Zr 2.50
3 S 0.5000 0.0000 0.0000  2 Zr 2.50
4 N 0.0000 0.0000 0.5000  2 Zr 1.98
5 Ta 0.5000 0.5000 0.5000  8 S 3.19, 4 N 3.53

- Symmetry: No. 123
- Magnetic moment: 2.12 μB/cell
- V: 19.80 A^3/atom
- N(E_F): 4.33 states/eV/f.u.

***

What is the stability order? It is model P, model Q, from most stable to least stable.